Density functional theory data (PBE-GGA) for an optimized crystal structure of Nb2Cr2GaFe5.

a b c (Å): 3.709 8.419 8.419
angles (deg): 90.00 90.00 90.00
Sites, in units of the cell vectors:
Fe 0.500 0.207 0.058
Fe 0.500 0.500 0.000
Fe 0.500 0.000 0.500
Fe 0.500 0.058 0.793
Fe 0.500 0.442 0.293
Fe 0.500 0.558 0.707
Fe 0.500 0.942 0.207
Fe 0.500 0.707 0.442
Fe 0.500 0.293 0.558
Fe 0.500 0.793 0.942
Nb 0.000 0.185 0.315
Nb 0.000 0.315 0.815
Nb 0.000 0.685 0.185
Nb 0.000 0.815 0.685
Cr 0.000 0.886 0.386
Cr 0.000 0.386 0.114
Cr 0.000 0.614 0.886
Cr 0.000 0.114 0.614
Ga 0.000 0.000 0.000
Ga 0.000 0.500 0.500

Computed properties:
formation energy from the elements	0.13	eV per atom
V	13.15	Å³ per atom
symmetry	P4/mbm, No. 127
E_tot	-8.34	eV per atom
crystal system	tetragonal

---

Density functional theory data (PBE-GGA) for an optimized crystal structure of La3Sm7Y.

a b c (Å): 5.978 8.619 8.619
angles (deg): 82.76 110.35 110.35
Sites, in units of the cell vectors:
Sm 0.208 0.207 0.207
Sm 0.701 0.000 0.403
Sm 0.000 0.500 0.500
Sm 0.792 0.793 0.793
Sm 0.299 0.000 0.597
Sm 0.701 0.403 0.000
Sm 0.299 0.597 0.000
La 0.500 0.000 0.000
La 0.000 0.214 0.786
La 0.000 0.786 0.214
Y 0.500 0.500 0.500

Computed properties:
excess energy over the best structure of this formula in the dataset	1.39	eV per formula unit
formation energy from the elements	0.24	eV per atom
V	35.49	Å³ per atom
symmetry	C2/m, No. 12
E_tot	-4.69	eV per atom
crystal system	monoclinic

---

> Look up the formation energy from the elements of the second one.

0.24 eV per atom